# PBE+U La2AgMoO, optimized geometry
# **Raw total energy**: -24.9 eV/cell
# **Density of states at the Fermi level**: 1.1625 states/eV/atom
data_La2AgMoO
_symmetry_space_group_name_H-M 'P 4/m m m'
_symmetry_Int_Tables_number 123
_symmetry_space_group_name_Hall '-P 4 2'
_cell_length_a 5.873
_cell_length_b 5.873
_cell_length_c 3.904
_cell_angle_alpha 90.00
_cell_angle_beta 90.00
_cell_angle_gamma 90.00
loop_
_atom_site_label
_atom_site_fract_x
_atom_site_fract_y
_atom_site_fract_z
_atom_site_occupancy
La1 0.000 0.500 0.000 1
Ag1 0.000 0.000 0.500 1
Mo1 0.500 0.500 0.000 1
O1 0.500 0.500 0.500 1